1.
Computed, not measured: an optimized crystal structure of Sr2Li2Ac3Hg4 at the GGA-PBE level of DFT.

Cell: 5.161 5.161 15.964 Å, 90.00 90.00 120.00°
Sites, in units of the cell vectors:
Li  0.667  0.333  0.876
Sr  0.333  0.667  0.584
Hg  0.667  0.333  0.669
Ac  0.000  0.000  0.234
Hg  0.333  0.667  0.883
Hg  0.667  0.333  0.117
Li  0.333  0.667  0.124
Ac  0.000  0.000  0.766
Ac  0.000  0.000  0.000
Hg  0.333  0.667  0.331
Sr  0.667  0.333  0.416

## Properties
Energy of formation ... -310 meV/atom
Crystal system ... trigonal
Mass density ... 7.54 g/cm³

=====

2.
Computed, not measured: an optimized crystal structure of Bi3S3Cl at the GGA-PBE level of DFT.

Cell: 8.649 8.649 8.068 Å, 57.59 57.59 60.00°
Sites, in units of the cell vectors:
Bi  0.051  0.776  0.785
Bi  0.388  0.051  0.785
Bi  0.776  0.388  0.785
Cl  0.323  0.323  0.030
Bi  0.224  0.612  0.215
S  0.620  0.169  0.338
Bi  0.949  0.224  0.215
Bi  0.612  0.949  0.215
S  0.380  0.831  0.662
S  0.169  0.873  0.338
Cl  0.677  0.677  0.970
S  0.127  0.380  0.662
S  0.831  0.127  0.662
S  0.873  0.620  0.338

## Properties
Formation energy (no corrections) ... -0.28 eV per atom
Crystal system ... trigonal
Mass density ... 6.14 g/cm³